VASP calculation (PBEsol) on a geometry-optimized KMnCd structure.

Cell: 3.032 4.395 6.647 Å, 109.31 103.19 90.00°
Fractional positions:
K 0.336 0.336 0.673
Cd 0.055 0.055 0.109
Mn 0.609 0.609 0.218

Summary:
Its space group is Imm2. The density of states at the Fermi level is 0.5815 states/eV per atom. Its formation energy is 574 meV per atom.

=====

VASP calculation (PBEsol) on a geometry-optimized KMn2Cd structure.

Cell: 3.001 3.001 10.696 Å, 81.94 81.94 60.00°
Fractional positions:
Mn 0.239 0.239 0.282
Mn 0.761 0.761 0.718
Cd 0.500 0.500 0.500
K 0.000 0.000 0.000

Summary:
Its space group is R-3m. The density of states at the Fermi level is 0.8962 states/eV per atom. Its formation energy is 944 meV per atom.

=====

VASP calculation (PBEsol) on a geometry-optimized KMnCd3 structure.

Cell: 5.195 5.195 5.195 Å, 90.00 90.00 90.00°
Fractional positions:
K 0.500 0.500 0.500
Mn 0.000 0.000 0.000
Cd 0.500 0.000 0.000
Cd 0.000 0.000 0.500
Cd 0.000 0.500 0.000

Summary:
Its space group is Pm-3m. The energy above the most stable polymorph in this dataset comes out at 0.00 kcal/mol of atoms. The density of states at the Fermi level is 0.9570 states/eV per atom. Its formation energy is 377 meV per atom.

=====

VASP calculation (PBEsol) on a geometry-optimized K2MnCd structure.

Cell: 4.822 4.822 6.449 Å, 111.96 111.96 90.00°
Fractional positions:
K 0.250 0.750 0.500
Mn 0.000 0.000 0.000
Cd 0.500 0.500 0.000
K 0.750 0.250 0.500

Summary:
Its space group is I4/mmm. The density of states at the Fermi level is 0.9553 states/eV per atom. Its formation energy is 738 meV per atom.

=====

VASP calculation (PBEsol) on a geometry-optimized KMn2CdO structure.

Cell: 4.145 4.145 5.062 Å, 90.00 90.00 90.00°
Fractional positions:
Mn 0.000 0.500 0.000
O 0.000 0.000 0.000
K 0.000 0.000 0.500
Cd 0.500 0.500 0.500
Mn 0.500 0.000 0.000

Summary:
Its space group is P4/mmm. The uncorrected formation energy is 0.22 eV per formula unit. The density of states at the Fermi level is 0.7186 states/eV per atom.

=====

VASP calculation (PBEsol) on a geometry-optimized KMn2CdTe structure.

Cell: 5.417 5.417 5.496 Å, 90.00 90.00 90.00°
Fractional positions:
Mn 0.500 0.000 0.000
K 0.000 0.000 0.000
Mn 0.000 0.500 0.000
Te 0.500 0.500 0.500
Cd 0.000 0.000 0.500

Summary:
Its space group is P4/mmm. The uncorrected formation energy is 9.04 eV per formula unit. The density of states at the Fermi level is 0.8550 states/eV per atom.

=====

VASP calculation (PBEsol) on a geometry-optimized KCd2Mo structure.

Cell: 2.749 4.963 7.314 Å, 93.42 90.00 106.08°
Fractional positions:
Mo 0.500 0.000 0.000
Cd 0.760 0.520 0.818
K 0.000 0.000 0.500
Cd 0.240 0.480 0.182

Summary:
Its space group is C2/m. The energy above the most stable polymorph in this dataset comes out at 0.98 kcal/mol of atoms. The density of states at the Fermi level is 0.7393 states/eV per atom. Its formation energy is 687 meV per atom.

=====

VASP calculation (PBEsol) on a geometry-optimized KCd2Mo structure.

Cell: 3.582 3.582 8.083 Å, 90.00 90.00 90.00°
Fractional positions:
K 0.000 0.000 0.507
Mo 0.500 0.500 0.828
Cd 0.000 0.000 0.973
Cd 0.500 0.500 0.191

Summary:
Its space group is P4mm. The energy above the most stable polymorph in this dataset comes out at 5.96 kcal/mol of atoms. The density of states at the Fermi level is 0.5151 states/eV per atom. Its formation energy is 903 meV per atom.

=====

VASP calculation (PBEsol) on a geometry-optimized KCd2Mo structure.

Cell: 2.813 5.430 5.430 Å, 90.00 90.00 90.00°
Fractional positions:
Mo 0.500 0.000 0.000
Cd 0.000 0.000 0.500
Cd 0.000 0.500 0.000
K 0.500 0.500 0.500

Summary:
Its space group is P4/mmm. The energy above the most stable polymorph in this dataset comes out at 0.00 kcal/mol of atoms. The density of states at the Fermi level is 0.5465 states/eV per atom. Its formation energy is 644 meV per atom.

=====

VASP calculation (PBEsol) on a geometry-optimized K10Zr3CdMo12O48 structure.

Cell: 10.644 10.644 13.944 Å, 67.56 67.56 60.00°
Fractional positions:
O 0.947 0.769 0.651
Mo 0.480 0.132 0.650
O 0.925 0.954 0.904
O 0.913 0.170 0.287
O 0.078 0.785 0.091
O 0.105 0.831 0.420
O 0.644 0.105 0.420
Mo 0.775 0.011 0.843
K 0.134 0.499 0.498
Mo 0.011 0.371 0.843
O 0.425 0.732 0.390
O 0.396 0.643 0.097
Mo 0.371 0.775 0.843
Zr 0.249 0.249 0.253
O 0.295 0.873 0.214
O 0.732 0.453 0.390
Zr 0.001 0.001 0.998
Zr 0.752 0.752 0.744
O 0.355 0.606 0.903
O 0.371 0.829 0.711
O 0.170 0.631 0.287
O 0.619 0.295 0.214
O 0.136 0.355 0.903
O 0.769 0.634 0.651
O 0.454 0.150 0.146
K 0.892 0.892 0.324
O 0.865 0.396 0.097
K 0.599 0.599 0.204
Mo 0.991 0.226 0.154
O 0.046 0.078 0.091
O 0.269 0.576 0.604
O 0.785 0.046 0.091
O 0.170 0.896 0.578
Cd 0.501 0.501 0.497
O 0.852 0.547 0.851
O 0.250 0.454 0.146
O 0.132 0.700 0.782
O 0.896 0.357 0.578
O 0.547 0.750 0.851
O 0.831 0.644 0.420
O 0.357 0.170 0.578
O 0.576 0.551 0.604
Mo 0.132 0.738 0.650
K 0.607 0.390 0.999
O 0.054 0.368 0.346
O 0.232 0.054 0.346
O 0.368 0.232 0.346
O 0.217 0.925 0.904
K 0.499 0.868 0.498
Mo 0.630 0.991 0.154
Mo 0.870 0.523 0.346
Mo 0.738 0.480 0.650
K 0.403 0.403 0.791
O 0.873 0.619 0.214
O 0.634 0.947 0.651
O 0.606 0.136 0.903
K 0.109 0.109 0.674
O 0.700 0.386 0.782
K 0.868 0.134 0.498
O 0.453 0.425 0.390
O 0.551 0.269 0.604
K 0.390 0.004 0.999
Mo 0.226 0.630 0.154
K 0.004 0.607 0.999
O 0.954 0.217 0.904
O 0.829 0.090 0.711
O 0.090 0.371 0.711
Mo 0.261 0.870 0.346
O 0.631 0.913 0.287
O 0.643 0.865 0.097
Mo 0.523 0.261 0.346
O 0.750 0.852 0.851
O 0.150 0.250 0.146
O 0.386 0.132 0.782

Summary:
Its space group is R3. The uncorrected formation energy is -164.05 eV per formula unit. The density of states at the Fermi level is 0.0000 states/eV per atom.

=====

VASP calculation (PBEsol) on a geometry-optimized K2CdN structure.

Cell: 4.158 8.451 8.451 Å, 86.53 75.76 75.76°
Fractional positions:
Cd 0.750 0.500 0.500
Cd 0.000 0.000 0.000
N 0.250 0.500 0.500
K 0.375 0.285 0.215
K 0.410 0.215 0.715
N 0.500 0.000 0.000
K 0.340 0.785 0.285
K 0.875 0.715 0.785

Summary:
Its space group is I-42d. The uncorrected formation energy is 1.12 eV per formula unit. The density of states at the Fermi level is 0.3467 states/eV per atom.

=====

VASP calculation (PBEsol) on a geometry-optimized KNaCd2 structure.

Cell: 5.563 5.563 5.563 Å, 60.00 60.00 60.00°
Fractional positions:
Cd 0.750 0.750 0.750
Na 0.000 0.000 0.000
Cd 0.250 0.250 0.250
K 0.500 0.500 0.500

Summary:
Its space group is Fm-3m. The density of states at the Fermi level is 0.5214 states/eV per atom. Its formation energy is 67 meV per atom.

=====

VASP calculation (PBEsol) on a geometry-optimized KNaCd2Re structure.

Cell: 5.281 5.281 5.828 Å, 90.00 90.00 90.00°
Fractional positions:
Re 0.000 0.000 0.000
Cd 0.000 0.500 0.000
Cd 0.500 0.000 0.000
Na 0.500 0.500 0.500
K 0.000 0.000 0.500

Summary:
Its space group is P4/mmm. The density of states at the Fermi level is 0.7892 states/eV per atom. Its formation energy is 1046 meV per atom.

=====

VASP calculation (PBEsol) on a geometry-optimized K6Na14Tl18Cd structure.

Cell: 10.517 10.517 10.517 Å, 90.00 90.00 90.00°
Fractional positions:
Na 0.719 0.281 0.719
Na 0.281 0.281 0.281
Tl 0.500 0.720 0.500
Na 0.719 0.719 0.281
Na 0.000 0.667 0.500
Tl 0.000 0.155 0.255
Na 0.281 0.281 0.719
Na 0.667 0.500 0.000
Tl 0.745 0.000 0.155
K 0.811 0.000 0.500
Tl 0.155 0.745 0.000
Cd 0.000 0.000 0.000
Na 0.500 0.000 0.333
Tl 0.720 0.500 0.500
Tl 0.255 0.000 0.155
Tl 0.500 0.500 0.720
Na 0.719 0.719 0.719
Tl 0.000 0.845 0.255
Tl 0.500 0.500 0.280
Na 0.281 0.719 0.281
Tl 0.255 0.000 0.845
Na 0.500 0.000 0.667
Tl 0.500 0.280 0.500
Tl 0.845 0.255 0.000
Na 0.281 0.719 0.719
K 0.500 0.189 0.000
Tl 0.000 0.155 0.745
Tl 0.845 0.745 0.000
Tl 0.000 0.845 0.745
Tl 0.280 0.500 0.500
K 0.000 0.500 0.811
Na 0.333 0.500 0.000
Tl 0.155 0.255 0.000
K 0.000 0.500 0.189
K 0.500 0.811 0.000
Na 0.719 0.281 0.281
Tl 0.745 0.000 0.845
K 0.189 0.000 0.500
Na 0.000 0.333 0.500

Summary:
Its space group is Pm-3. The density of states at the Fermi level is 0.1557 states/eV per atom. Its formation energy is -147 meV per atom.

=====

VASP calculation (PBEsol) on a geometry-optimized K2CdNi structure.

Cell: 4.624 5.019 5.019 Å, 109.28 89.84 89.84°
Fractional positions:
K 0.000 0.500 0.000
K 0.000 0.000 0.500
Ni 0.500 0.000 0.000
Cd 0.500 0.500 0.500

Summary:
Its space group is C2/m. The density of states at the Fermi level is 1.0325 states/eV per atom. Its formation energy is 596 meV per atom.

=====

VASP calculation (PBEsol) on a geometry-optimized KCdNi2 structure.

Cell: 2.703 5.050 5.949 Å, 115.11 103.13 90.00°
Fractional positions:
K 0.260 0.760 0.519
Ni 0.048 0.048 0.097
Ni 0.732 0.232 0.463
Cd 0.460 0.460 0.921

Summary:
Its space group is Imm2. The density of states at the Fermi level is 1.0440 states/eV per atom. Its formation energy is 529 meV per atom.

=====

VASP calculation (PBEsol) on a geometry-optimized KCdNi2 structure.

Cell: 2.856 4.679 5.105 Å, 90.00 90.00 90.00°
Fractional positions:
Ni 0.000 0.000 0.000
K 0.000 0.500 0.500
Ni 0.500 0.000 0.500
Cd 0.500 0.500 0.000

Summary:
Its space group is Pmmm. The density of states at the Fermi level is 0.8603 states/eV per atom. Its formation energy is 818 meV per atom.

=====

VASP calculation (PBEsol) on a geometry-optimized K2CdNi structure.

Cell: 3.389 3.389 10.998 Å, 81.14 81.14 60.00°
Fractional positions:
K 0.239 0.239 0.282
K 0.761 0.761 0.718
Ni 0.500 0.500 0.500
Cd 0.000 0.000 0.000

Summary:
Its space group is R-3m. The density of states at the Fermi level is 0.6309 states/eV per atom. Its formation energy is 705 meV per atom.

=====

VASP calculation (PBEsol) on a geometry-optimized KCdNi2 structure.

Cell: 4.019 4.019 5.140 Å, 113.01 113.01 90.00°
Fractional positions:
Cd 0.500 0.500 0.000
K 0.250 0.750 0.500
Ni 0.000 0.000 0.000
Ni 0.750 0.250 0.500

Summary:
Its space group is I-4m2. The density of states at the Fermi level is 1.4891 states/eV per atom. Its formation energy is 831 meV per atom.

=====

VASP calculation (PBEsol) on a geometry-optimized KCdNi2 structure.

Cell: 2.817 4.708 6.547 Å, 96.89 90.00 107.41°
Fractional positions:
Ni 0.735 0.470 0.638
Ni 0.265 0.530 0.362
Cd 0.000 0.000 0.500
K 0.500 0.000 0.000

Summary:
Its space group is C2/m. The density of states at the Fermi level is 0.8493 states/eV per atom. Its formation energy is 473 meV per atom.

=====

VASP calculation (PBEsol) on a geometry-optimized KCd3Ni structure.

Cell: 5.000 5.000 5.000 Å, 90.00 90.00 90.00°
Fractional positions:
Ni 0.000 0.000 0.000
Cd 0.000 0.500 0.000
Cd 0.000 0.000 0.500
K 0.500 0.500 0.500
Cd 0.500 0.000 0.000

Summary:
Its space group is Pm-3m. The density of states at the Fermi level is 0.4088 states/eV per atom. Its formation energy is 28 meV per atom.

=====

VASP calculation (PBEsol) on a geometry-optimized K2CdNi structure.

Cell: 4.533 5.699 6.007 Å, 118.32 112.17 90.00°
Fractional positions:
Ni 0.574 0.574 0.148
Cd 0.179 0.679 0.358
K 0.970 0.970 0.941
K 0.777 0.277 0.553

Summary:
Its space group is Imm2. The density of states at the Fermi level is 0.4707 states/eV per atom. Its formation energy is 393 meV per atom.

=====

VASP calculation (PBEsol) on a geometry-optimized KCdP2O structure.

Cell: 4.352 5.045 5.045 Å, 90.00 90.00 90.00°
Fractional positions:
Cd 0.000 0.000 0.000
P 0.000 0.000 0.500
K 0.500 0.500 0.500
O 0.500 0.000 0.000
P 0.000 0.500 0.000

Summary:
Its space group is P4/mmm. The energy above the most stable polymorph in this dataset comes out at 0.00 kcal/mol of atoms. The uncorrected formation energy is 2.61 eV per formula unit. The density of states at the Fermi level is 0.9036 states/eV per atom.

=====

VASP calculation (PBEsol) on a geometry-optimized KCdP2O structure.

Cell: 4.322 5.281 5.281 Å, 90.00 90.00 90.00°
Fractional positions:
Cd 0.500 0.500 0.500
K 0.000 0.000 0.000
P 0.000 0.500 0.000
O 0.500 0.000 0.000
P 0.000 0.000 0.500

Summary:
Its space group is P4/mmm. The energy above the most stable polymorph in this dataset comes out at 22.01 kcal/mol of atoms. The uncorrected formation energy is 7.39 eV per formula unit. The density of states at the Fermi level is 0.7048 states/eV per atom.